# 1
The following is a DFT calculation (PBE) of an optimized crystal structure of SrMg2Sb.

Values from the calculation:
Energy relative to the elements, uncorrected ... -383 meV per atom
Electronic total energy ... -2.6312 eV per atom
Density of states at the Fermi level ... 2.101 states/eV/cell

abc: 4.4794 4.4956 6.1651
angles: 90.00 90.11 90.00
Last column: nearest neighbours and their distance in Å.
Space group Pm (No. 6)
Unique sites:
Sr1 0.0000 0.0000 0.0000 (multiplicity 1)  4 Sb 3.36, 1 Mg 3.76
Mg1 0.0013 0.5000 0.5085 (multiplicity 1)  2 Sb 3.02, 4 Mg 3.17
Mg2 0.5015 0.0000 0.5093 (multiplicity 1)  2 Sb 3.03, 4 Mg 3.17
Sb1 0.5003 0.5000 0.1795 (multiplicity 1)  4 Mg 3.02-3.03, 4 Sr 3.36



# 2
The following is a DFT calculation (PBE) of an optimized crystal structure of SrMg2Sb.

Values from the calculation:
Energy relative to the elements, uncorrected ... -212 meV per atom
Electronic total energy ... -2.4605 eV per atom
Density of states at the Fermi level ... 2.749 states/eV/cell

abc: 6.5808 12.0469 3.4658
angles: 90.00 121.02 90.00
Last column: nearest neighbours and their distance in Å.
Space group C2/m (No. 12)
Unique sites:
Sr1 0.0000 0.0000 0.0000 (multiplicity 2)  4 Sb 3.29-3.33, 4 Mg 3.44, 2 Sr 3.47
Mg1 0.2500 0.2500 0.5000 (multiplicity 4)  6 Mg 3.29-3.47, 2 Sb 3.44, 2 Sr 3.44
Sb1 0.0000 0.5000 0.0000 (multiplicity 2)  4 Sr 3.29-3.33, 4 Mg 3.44, 2 Sb 3.47



# 3
The following is a DFT calculation (PBE) of an optimized crystal structure of SrMg2Sb.

Values from the calculation:
Energy relative to the elements, uncorrected ... -321 meV per atom
Electronic total energy ... -2.5696 eV per atom
Density of states at the Fermi level ... 5.685 states/eV/cell

abc: 4.8294 4.8294 18.2852
angles: 90.00 90.00 120.00
Last column: nearest neighbours and their distance in Å.
Space group R3m (No. 160, hexagonal axes)
Unique sites:
Sr1 0.0000 0.0000 0.0000 (multiplicity 3)  3 Mg 3.47, 3 Sb 3.51
Mg1 0.0000 0.0000 0.4961 (multiplicity 3)  3 Mg 2.94, 3 Sb 2.96
Mg2 0.0000 0.0000 0.7793 (multiplicity 3)  3 Mg 2.94
Sb1 0.0000 0.0000 0.2167 (multiplicity 3)  3 Mg 2.96